[1]
4
Lattice="5.590 0.000 0.000 2.795 4.841 0.000 2.795 1.614 4.565" Properties=species:S:1:pos:R:3 comment="PBE Sm2DySc, relaxed" e_above_lowest_polymorph_mev_per_atom=78.7 delta_e_f_ev_per_atom=0.114 pbc="T T T"
Sm 8.386 4.841 3.423
Sm 2.795 1.614 1.141
Dy 0.000 0.000 0.000
Sc 5.590 3.228 2.282

***

[2]
5
Lattice="-1.684 3.223 4.144 -4.993 0.362 -2.310 -1.622 -4.458 2.808" Properties=species:S:1:pos:R:3 comment="PBE PrSm3Cu, relaxed" delta_e_f_ev_per_atom=0.111 pbc="T T T"
Sm -0.811 -2.229 1.404
Sm -2.496 0.181 -1.155
Sm -0.842 1.611 2.072
Pr -4.149 -0.437 2.321
Cu 0.000 0.000 0.000

***

[3]
NdPuZnSb | PBE | relaxed

Structure (extended XYZ):
```
4
Lattice="-3.868 2.452 -2.664 -3.499 -2.832 -2.794 -5.017 -0.391 1.656" Properties=species:S:1:pos:R:3 pbc="T T T"
Nd -3.096 -0.193 -0.951
Zn 0.000 0.000 0.000
Sb -6.192 -0.385 -1.901
Pu -9.288 -0.578 -2.852
```

***

[4]
TeHS4 | PBE | relaxed

Structure (extended XYZ):
```
12
Lattice="14.362 -3.477 -1.150 -10.026 5.791 1.172 -0.472 0.820 7.878" Properties=species:S:1:pos:R:3 pbc="T T T"
H -2.098 3.921 5.518
H 5.962 -0.787 2.381
S 3.893 1.687 3.910
S -4.629 3.841 3.078
S 7.614 0.620 3.659
S 4.101 1.317 0.271
S -0.237 1.817 7.628
S -3.751 2.514 4.240
S -0.030 1.448 3.989
S 8.493 -0.707 4.821
Te 2.322 1.536 1.992
Te 1.542 1.598 5.907
```

***

Number 1: theoretical density 6830 kg/m³, E -19.92 eV/f.u., volume 30.89 A^3/atom. Number 2: theoretical density 6497 kg/m³, E -22.48 eV/f.u., volume 33.51 A^3/atom. Number 3: theoretical density 9086 kg/m³, E -26.17 eV/f.u., volume 26.29 A^3/atom. Number 4: theoretical density 2275 kg/m³, E -22.59 eV/f.u., volume 31.25 A^3/atom.